1.
{"formula": "CsTmCu2Cl8", "functional": "PBE", "state": "relaxed", "final_energy_ev_per_atom": -3.655, "crystal_system": "monoclinic", "formation_energy_uncorrected_ev_per_atom": -1.297, "n_ef_per_ev_atom": 0.38, "spacegroup": "C2/m (12)", "vol_a3_per_atom": 32.2, "lattice": [[4.9144, -3.7340, 0.0000], [4.9144, 3.7340, 0.0000], [-0.0823, 0.0000, 10.5338]], "species": ["Cs", "Tm", "Cu", "Cu", "Cl", "Cl", "Cl", "Cl", "Cl", "Cl", "Cl", "Cl"], "frac_coords": [[0.0000, 0.0000, 0.0000], [0.0000, 0.0000, 0.5000], [0.3682, 0.3682, 0.7010], [0.6318, 0.6318, 0.2990], [0.2196, 0.7577, 0.6875], [0.2423, 0.7804, 0.3125], [0.2665, 0.2665, 0.5095], [0.3392, 0.3392, 0.9057], [0.6608, 0.6608, 0.0943], [0.7335, 0.7335, 0.4905], [0.7577, 0.2196, 0.6875], [0.7804, 0.2423, 0.3125]]}

2.
{"formula": "Cs3TmCu2Cl9", "functional": "PBE", "state": "relaxed", "final_energy_ev_per_atom": -3.706, "crystal_system": "trigonal", "formation_energy_uncorrected_ev_per_atom": -1.583, "n_ef_per_ev_atom": 0.17, "spacegroup": "P-3m1 (164)", "vol_a3_per_atom": 27.7, "lattice": [[7.3029, 0.0000, 0.0000], [-3.6515, 6.3245, 0.0000], [0.0000, 0.0000, 9.0029]], "species": ["Cs", "Cs", "Cs", "Tm", "Cu", "Cu", "Cl", "Cl", "Cl", "Cl", "Cl", "Cl", "Cl", "Cl", "Cl"], "frac_coords": [[0.0000, 0.0000, 0.0000], [0.3333, 0.6667, 0.6700], [0.6667, 0.3333, 0.3300], [0.0000, 0.0000, 0.5000], [0.3333, 0.6667, 0.1291], [0.6667, 0.3333, 0.8709], [0.0000, 0.5000, 0.0000], [0.1682, 0.3364, 0.3318], [0.1682, 0.8318, 0.3318], [0.3364, 0.1682, 0.6682], [0.5000, 0.0000, 0.0000], [0.5000, 0.5000, 0.0000], [0.6636, 0.8318, 0.3318], [0.8318, 0.1682, 0.6682], [0.8318, 0.6636, 0.6682]]}

3.
{"formula": "Cs2UCuCl6", "functional": "PBE", "state": "relaxed", "final_energy_ev_per_atom": -4.353, "crystal_system": "trigonal", "formation_energy_uncorrected_ev_per_atom": -1.536, "n_ef_per_ev_atom": 1.00, "spacegroup": "P-3m1 (164)", "vol_a3_per_atom": 32.3, "lattice": [[7.6501, 0.0000, 0.0000], [-3.8250, 6.6252, 0.0000], [0.0000, 0.0000, 6.3739]], "species": ["Cs", "Cs", "U", "Cu", "Cl", "Cl", "Cl", "Cl", "Cl", "Cl"], "frac_coords": [[0.3333, 0.6667, 0.2756], [0.6667, 0.3333, 0.7244], [0.0000, 0.0000, 0.0000], [0.0000, 0.0000, 0.5000], [0.1628, 0.3256, 0.7367], [0.1628, 0.8372, 0.7367], [0.3256, 0.1628, 0.2633], [0.6744, 0.8372, 0.7367], [0.8372, 0.1628, 0.2633], [0.8372, 0.6744, 0.2633]]}

4.
{"formula": "Cs2VCuCl6", "functional": "PBE", "state": "relaxed", "final_energy_ev_per_atom": -3.985, "crystal_system": "orthorhombic", "formation_energy_uncorrected_ev_per_atom": -1.385, "n_ef_per_ev_atom": 1.04, "spacegroup": "Imm2 (44)", "vol_a3_per_atom": 27.7, "lattice": [[-3.7612, 4.4748, 4.1103], [3.7612, -4.4748, 4.1103], [3.7612, 4.4748, -4.1103]], "species": ["Cs", "Cs", "V", "Cu", "Cl", "Cl", "Cl", "Cl", "Cl", "Cl"], "frac_coords": [[0.2389, 0.0000, 0.2389], [0.7611, 0.0000, 0.7611], [0.5003, 0.5003, 0.0000], [0.8816, 0.3816, 0.5000], [0.2458, 0.5194, 0.7264], [0.3034, 0.0815, 0.7782], [0.3034, 0.5252, 0.2218], [0.7243, 0.4930, 0.7687], [0.7243, 0.9555, 0.2313], [0.7930, 0.5194, 0.2736]]}